1.
Here is crystalline HfInOsRh at its relaxed geometry from Alexandria via LeMat-Bulk. Energies are from PBE-GGA.

Lattice parameters (Å, degrees): 4.584 4.584 4.584 60.00 60.00 60.00
Element x y z (fractional)
In 0.750 0.750 0.750
Rh 0.000 0.000 0.000
Os 0.500 0.500 0.500
Hf 0.250 0.250 0.250

Its spin magnetization is 0.00 μB per formula unit. The formation energy is -480.0 meV per atom. The value obtained for the mass density is 14.3 g/cm³.



2.
Here is crystalline Zr2ZnPt at its relaxed geometry from Alexandria via LeMat-Bulk. Energies are from PBE-GGA.

Lattice parameters (Å, degrees): 2.898 6.241 5.598 50.61 90.00 90.00
Element x y z (fractional)
Zr 0.000 0.000 0.000
Zn 0.000 0.000 0.500
Zr 0.500 0.500 0.000
Pt 0.500 0.500 0.500

Its spin magnetization is 0.00 μB per formula unit. The formation energy is -299.3 meV per atom. The value obtained for the mass density is 9.4 g/cm³.



3.
Here is crystalline LiScIO2 at its relaxed geometry from Alexandria via LeMat-Bulk. Energies are from PBE-GGA.

Lattice parameters (Å, degrees): 4.052 4.052 4.745 90.00 90.00 90.00
Each line ends with the local moment (μB).
Element x y z (fractional)
Li 0.000 0.000 0.000  -0.01
Sc 0.500 0.500 0.500  -0.17
O 0.500 0.000 0.000  0.53
I 0.000 0.000 0.500  0.04
O 0.000 0.500 0.000  0.53

Its spin magnetization is 1.08 μB per formula unit. The calculation puts the polymorph energy (0 for the lowest one) at 1128.7 meV per atom. The uncorrected formation energy comes out at -549 meV/atom. The value obtained for the mass density is 4.5 g/cm³.



4.
Here is crystalline Tb6Pm3In at its relaxed geometry from Alexandria via LeMat-Bulk. Energies are from PBE-GGA.

Lattice parameters (Å, degrees): 3.513 12.915 14.331 100.79 90.00 90.00
Element x y z (fractional)
Tb 0.750 0.811 0.081
Tb 0.250 0.891 0.537
Pm 0.750 0.631 0.505
In 0.750 0.035 0.724
Tb 0.250 0.225 0.285
In 0.250 0.965 0.276
Pm 0.250 0.927 0.896
Pm 0.250 0.369 0.495
Tb 0.750 0.754 0.309
Tb 0.750 0.109 0.463
Tb 0.250 0.189 0.919
Tb 0.750 0.775 0.715
Pm 0.750 0.073 0.104
Pm 0.750 0.421 0.902
Pm 0.250 0.579 0.098
Tb 0.250 0.659 0.883
Tb 0.750 0.490 0.691
Tb 0.750 0.341 0.117
Tb 0.250 0.246 0.691
Tb 0.250 0.510 0.309

Its spin magnetization is 0.00 μB per formula unit. The calculation puts the polymorph energy (0 for the lowest one) at 24.0 meV per atom. The formation energy is -6.8 meV per atom. The value obtained for the mass density is 7.8 g/cm³.



5.
Here is crystalline HoInPb6 at its relaxed geometry from Alexandria via LeMat-Bulk. Energies are from PBE-GGA.

Lattice parameters (Å, degrees): 4.836 4.836 10.195 90.00 90.00 90.00
Element x y z (fractional)
Ho 0.000 0.000 0.000
Pb 0.500 0.500 0.500
Pb 0.000 0.500 0.246
In 0.000 0.000 0.500
Pb 0.500 0.000 0.246
Pb 0.500 0.000 0.754
Pb 0.000 0.500 0.754
Pb 0.500 0.500 0.000

Its spin magnetization is 0.00 μB per formula unit. The formation energy is -97.4 meV per atom. The value obtained for the mass density is 10.6 g/cm³.



6.
Here is crystalline Rb3Ho3TaO8 at its relaxed geometry from Alexandria via LeMat-Bulk. Energies are from PBE-GGA.

Lattice parameters (Å, degrees): 6.824 6.823 7.712 116.27 90.00 120.00
Each line ends with the local moment (μB).
Element x y z (fractional)
O 0.794 0.048 0.342  0.01
O 0.206 0.952 0.658  0.01
Ho 0.500 0.500 0.500  0.03
O 0.746 0.952 0.658  0.01
Rb 0.000 0.000 0.000  0.01
Ho 0.500 0.000 0.500  0.03
O 0.276 0.552 0.328  0.01
Rb 0.500 0.500 0.000  0.01
Ta 0.000 0.000 0.500  0.42
Ho 0.000 0.500 0.500  0.03
O 0.254 0.048 0.342  0.01
O 0.724 0.448 0.672  0.01
O 0.206 0.412 0.658  0.01
O 0.794 0.588 0.342  0.01
Rb 0.000 0.500 0.000  0.01

Its spin magnetization is 0.79 μB per formula unit. The uncorrected formation energy comes out at -2701 meV/atom. The value obtained for the mass density is 6.6 g/cm³.